The following is a PBE-GGA calculation of a geometry-optimized Sr3Ca2Cd2 structure, from Alexandria.

## Properties
Its energy relative to the elements is -0.176 eV/atom. The calculation puts the theoretical density at 3.3 g cm⁻³. The symmetry is C2/m (12).

a b c (Å): 7.717 7.717 10.007
angles (deg): 114.10 114.10 31.49
Positions (direct):
Sr  0.000  0.000  0.000
Sr  0.116  0.116  0.440
Sr  0.884  0.884  0.560
Ca  0.341  0.341  0.170
Ca  0.659  0.659  0.830
Cd  0.314  0.314  0.787
Cd  0.686  0.686  0.213



The following is a PBE-GGA calculation of a geometry-optimized Sr6Ca2Cd structure, from Alexandria.

## Properties
Its energy relative to the elements is -0.037 eV/atom. The distance to the lowest polymorph of the same formula is 0 meV per atom. The calculation puts the theoretical density at 2.8 g cm⁻³. The symmetry is Amm2 (38).

a b c (Å): 4.238 10.860 10.860
angles (deg): 119.95 90.00 90.00
Positions (direct):
Sr  0.000  0.000  0.000
Sr  0.000  0.488  0.743
Sr  0.000  0.743  0.488
Sr  0.500  0.121  0.744
Sr  0.500  0.365  0.365
Sr  0.500  0.744  0.121
Ca  0.000  0.077  0.411
Ca  0.000  0.411  0.077
Cd  0.500  0.744  0.744



The following is a PBE-GGA calculation of a geometry-optimized Sr2Ca9Cd3 structure, from Alexandria.

## Properties
Its energy relative to the elements is -0.131 eV/atom. The calculation puts the theoretical density at 2.7 g cm⁻³. The symmetry is C2/c (15).

a b c (Å): 10.153 10.153 13.660
angles (deg): 113.42 113.42 57.44
Positions (direct):
Sr  0.112  0.258  0.252
Sr  0.258  0.112  0.752
Sr  0.742  0.888  0.248
Sr  0.888  0.742  0.748
Ca  0.010  0.103  0.916
Ca  0.103  0.010  0.416
Ca  0.184  0.364  0.570
Ca  0.205  0.583  0.251
Ca  0.299  0.507  0.957
Ca  0.321  0.679  0.750
Ca  0.364  0.184  0.070
Ca  0.417  0.795  0.249
Ca  0.493  0.701  0.543
Ca  0.507  0.299  0.457
Ca  0.583  0.205  0.751
Ca  0.636  0.816  0.930
Ca  0.679  0.321  0.250
Ca  0.701  0.493  0.043
Ca  0.795  0.417  0.749
Ca  0.816  0.636  0.430
Ca  0.897  0.990  0.584
Ca  0.990  0.897  0.084
Cd  0.000  0.500  0.000
Cd  0.159  0.646  0.484
Cd  0.354  0.841  0.016
Cd  0.500  0.000  0.500
Cd  0.646  0.159  0.984
Cd  0.841  0.354  0.516



The following is a PBE-GGA calculation of a geometry-optimized SrCa3Cd8 structure, from Alexandria.

## Properties
Its energy relative to the elements is -0.320 eV/atom. The calculation puts the theoretical density at 5.8 g cm⁻³. The symmetry is P3m1 (156).

a b c (Å): 6.136 6.136 9.672
angles (deg): 90.00 90.00 120.00
Positions (direct):
Sr  0.000  0.000  0.000
Ca  0.000  0.000  0.383
Ca  0.667  0.333  0.497
Ca  0.667  0.333  0.874
Cd  0.163  0.326  0.685
Cd  0.163  0.837  0.685
Cd  0.333  0.667  0.437
Cd  0.333  0.667  0.937
Cd  0.504  0.009  0.190
Cd  0.504  0.496  0.190
Cd  0.674  0.837  0.685
Cd  0.991  0.496  0.190



The following is a PBE-GGA calculation of a geometry-optimized SrCa2Cd structure, from Alexandria.

## Properties
Its energy relative to the elements is -0.150 eV/atom. The calculation puts the theoretical density at 3.1 g cm⁻³. The symmetry is C2/m (12).

a b c (Å): 7.179 7.179 6.140
angles (deg): 115.15 115.15 32.43
Positions (direct):
Sr  0.000  0.000  0.000
Ca  0.208  0.208  0.708
Ca  0.792  0.792  0.292
Cd  0.500  0.500  0.500



The following is a PBE-GGA calculation of a geometry-optimized SrCaCd10 structure, from Alexandria.

## Properties
Its energy relative to the elements is -0.183 eV/atom. The calculation puts the theoretical density at 6.8 g cm⁻³. The symmetry is Pmmm (47).

a b c (Å): 4.919 5.969 10.381
angles (deg): 90.00 90.00 90.00
Positions (direct):
Sr  0.000  0.000  0.000
Ca  0.000  0.500  0.500
Cd  0.000  0.000  0.339
Cd  0.000  0.000  0.661
Cd  0.000  0.500  0.172
Cd  0.000  0.500  0.828
Cd  0.500  0.000  0.500
Cd  0.500  0.250  0.251
Cd  0.500  0.250  0.749
Cd  0.500  0.500  0.000
Cd  0.500  0.750  0.251
Cd  0.500  0.750  0.749



The following is a PBE-GGA calculation of a geometry-optimized Sr2CaCd2 structure, from Alexandria.

## Properties
Its energy relative to the elements is -0.155 eV/atom. The distance to the lowest polymorph of the same formula is 115 meV per atom. The calculation puts the theoretical density at 4.1 g cm⁻³. The symmetry is P4/mbm (127).

a b c (Å): 9.634 9.634 3.799
angles (deg): 90.00 90.00 90.00
Positions (direct):
Sr  0.137  0.363  0.000
Sr  0.363  0.863  0.000
Sr  0.637  0.137  0.000
Sr  0.863  0.637  0.000
Ca  0.000  0.000  0.000
Ca  0.500  0.500  0.000
Cd  0.160  0.660  0.500
Cd  0.340  0.160  0.500
Cd  0.660  0.840  0.500
Cd  0.840  0.340  0.500



The following is a PBE-GGA calculation of a geometry-optimized SrCaCd2 structure, from Alexandria.

## Properties
Its energy relative to the elements is -0.333 eV/atom. The calculation puts the theoretical density at 4.8 g cm⁻³. The symmetry is P4/mmm (123).

a b c (Å): 3.968 3.968 7.822
angles (deg): 90.00 90.00 90.00
Positions (direct):
Sr  0.000  0.000  0.000
Ca  0.000  0.000  0.500
Cd  0.500  0.500  0.270
Cd  0.500  0.500  0.730



The following is a PBE-GGA calculation of a geometry-optimized Sr2CaCd structure, from Alexandria.

## Properties
Its energy relative to the elements is -0.162 eV/atom. The calculation puts the theoretical density at 3.3 g cm⁻³. The symmetry is I4/mmm (139).

a b c (Å): 10.850 10.850 10.850
angles (deg): 149.50 149.50 43.68
Positions (direct):
Sr  0.000  0.500  0.500
Sr  0.154  0.154  0.000
Sr  0.500  0.000  0.500
Sr  0.846  0.846  0.000
Ca  0.342  0.342  0.000
Ca  0.658  0.658  0.000
Cd  0.250  0.750  0.500
Cd  0.750  0.250  0.500



The following is a PBE-GGA calculation of a geometry-optimized Sr3CaCd2 structure, from Alexandria.

## Properties
Its energy relative to the elements is -0.218 eV/atom. The calculation puts the theoretical density at 3.8 g cm⁻³. The symmetry is P4/mmm (123).

a b c (Å): 4.069 4.069 13.871
angles (deg): 90.00 90.00 90.00
Positions (direct):
Sr  0.000  0.000  0.000
Sr  0.000  0.000  0.290
Sr  0.000  0.000  0.710
Ca  0.500  0.500  0.500
Cd  0.500  0.500  0.149
Cd  0.500  0.500  0.851



The following is a PBE-GGA calculation of a geometry-optimized Sr3Ca5Cd3 structure, from Alexandria.

## Properties
Its energy relative to the elements is -0.115 eV/atom. The calculation puts the theoretical density at 3.2 g cm⁻³. The symmetry is Cm (8).

a b c (Å): 9.352 9.352 10.033
angles (deg): 122.41 122.41 34.91
Positions (direct):
Sr  0.000  0.000  0.000
Sr  0.660  0.660  0.660
Sr  0.830  0.830  0.525
Ca  0.189  0.189  0.425
Ca  0.330  0.330  0.975
Ca  0.471  0.471  0.708
Ca  0.697  0.697  0.084
Ca  0.963  0.963  0.350
Cd  0.094  0.094  0.780
Cd  0.331  0.331  0.310
Cd  0.567  0.567  0.252



The following is a PBE-GGA calculation of a geometry-optimized Sr2CaCd structure, from Alexandria.

## Properties
Its energy relative to the elements is -0.138 eV/atom. The calculation puts the theoretical density at 3.3 g cm⁻³. The symmetry is Imm2 (44).

a b c (Å): 7.392 7.392 7.392
angles (deg): 147.63 130.10 60.74
Positions (direct):
Sr  0.000  0.000  0.000
Sr  0.705  0.205  0.500
Ca  0.294  0.794  0.500
Cd  0.490  0.490  0.000



Number 1: final energy -1.73 eV/atom, N(E_F) 8.16 states/eV/cell. Number 2: final energy -1.70 eV/atom, N(E_F) 13.50 states/eV/cell. Number 3: final energy -1.85 eV/atom, N(E_F) 37.49 states/eV/cell. Number 4: final energy -1.57 eV/atom, N(E_F) 7.04 states/eV/cell. Number 5: final energy -1.80 eV/atom, N(E_F) 4.66 states/eV/cell. Number 6: final energy -1.25 eV/atom, N(E_F) 5.64 states/eV/cell. Number 7: final energy -1.59 eV/atom, N(E_F) 7.53 states/eV/cell. Number 8: final energy -1.71 eV/atom, N(E_F) 4.09 states/eV/cell. Number 9: final energy -1.73 eV/atom, N(E_F) 7.72 states/eV/cell. Number 10: final energy -1.70 eV/atom, N(E_F) 6.63 states/eV/cell. Number 11: final energy -1.73 eV/atom, N(E_F) 11.72 states/eV/cell. Number 12: final energy -1.71 eV/atom, N(E_F) 4.24 states/eV/cell.